Pr3Sm4Mg: optimized geometry, PBE.

The calculated volume comes out at 537.5 Å³ per cell. For the energy above the most stable polymorph in this dataset, the calculation gives 0.0000 eV per atom. Its density of states at the Fermi level is 10.52 states/eV/f.u.

The space group is Pmn2_1 (No. 31) and the conventional cell measures 11.611, 7.284 and 6.355 Å, with angles of 90.00, 90.00 and 90.00 degrees. The inequivalent atoms are Pr at (0.000, 0.129, 0.000), Pr at (0.241, 0.123, 0.652), Sm at (0.000, 0.389, 0.466), Sm at (0.000, 0.628, 0.987), Sm at (0.242, 0.628, 0.647) and Mg at (0.000, 0.875, 0.486).

Na3Ac3ZrTe8: optimized geometry, PBE.

The calculated volume comes out at 1722.8 Å³ per cell. The value obtained for the energy relative to the elements, uncorrected is -1.26 eV/atom.

The space group is R-3m (No. 166, hexagonal axes) and the conventional cell measures 9.3388, 9.3388 and 22.8102 Å, with angles of 90.00, 90.00 and 120.00 degrees. The inequivalent atoms are Na at (0.0000, 0.5000, 0.0000), Ac at (0.0000, 0.5000, 0.5000), Zr at (0.0000, 0.0000, 0.5000), Te at (0.0000, 0.0000, 0.2510) and Te at (0.0336, 0.5168, 0.2429).

SiP2C: optimized geometry, PBE.

The calculated volume comes out at 112.9 Å³ per cell. The value obtained for the energy relative to the elements, uncorrected is 0.42 eV/atom. For the energy above the most stable polymorph in this dataset, the calculation gives 0.2286 eV per atom. Its density of states at the Fermi level is 0.83 states/eV/f.u.

The space group is Cm (No. 8) and the conventional cell measures 8.095, 3.310 and 4.231 Å, with angles of 90.00, 95.29 and 90.00 degrees. The inequivalent atoms are Si at (0.000, 0.000, 0.000), P at (0.260, 0.500, 0.655), P at (0.381, 0.000, 0.398) and C at (0.050, 0.500, 0.745).

Number 1: total moment 0.0 Bohr magnetons per cell. Number 2: total moment 0.0 Bohr magnetons per cell. Number 3: total moment 0.0 Bohr magnetons per cell.